1.
# Tl2InPb GGA-PBEsol optimized geometry
data_Tl2InPb
_cell_length_a 5.9298
_cell_length_b 3.3938
_cell_length_c 11.2764
_cell_angle_alpha 90.00
_cell_angle_beta 100.43
_cell_angle_gamma 90.00
_space_group_name_H-M_alt 'C 1 m 1'
_space_group_IT_number 8
loop_
_space_group_symop_operation_xyz
'x,y,z'
'x,-y,z'
'x+1/2,y+1/2,z'
'x+1/2,-y+1/2,z'
loop_
_atom_site_label
_atom_site_type_symbol
_atom_site_fract_x
_atom_site_fract_y
_atom_site_fract_z
_atom_site_occupancy
Tl1 Tl 0.0000 0.0000 0.0000 1
Tl2 Tl 0.2488 0.0000 0.7463 1
In1 In 0.2476 0.5000 0.2437 1
Pb1 Pb 0.4959 0.0000 0.4887 1
# total energy = -3.0567 eV/atom
# density = 10.87 g/cm3
# ΔE_f = 0.00 eV per atom
# DOS(E_F) = 0.500 states/eV per atom

=====

2.
# Tl2InPb GGA-PBEsol optimized geometry
data_Tl2InPb
_cell_length_a 7.6557
_cell_length_b 7.6557
_cell_length_c 7.6557
_cell_angle_alpha 90.00
_cell_angle_beta 90.00
_cell_angle_gamma 90.00
_space_group_name_H-M_alt 'F m -3 m'
_space_group_IT_number 225
_space_group_name_Hall '-F 4 2 3'
loop_
_atom_site_label
_atom_site_type_symbol
_atom_site_fract_x
_atom_site_fract_y
_atom_site_fract_z
_atom_site_occupancy
Tl1 Tl 0.2500 0.2500 0.2500 1
In1 In 0.0000 0.0000 0.0000 1
Pb1 Pb 0.0000 0.0000 0.5000 1
# total energy = -3.0369 eV/atom
# density = 10.82 g/cm3
# ΔE_f = 0.02 eV per atom
# DOS(E_F) = 0.566 states/eV per atom

=====

3.
# Tl2InPb GGA-PBEsol optimized geometry
data_Tl2InPb
_cell_length_a 3.6686
_cell_length_b 5.5812
_cell_length_c 10.8695
_cell_angle_alpha 90.00
_cell_angle_beta 90.00
_cell_angle_gamma 90.00
_space_group_name_H-M_alt 'I m m m'
_space_group_IT_number 71
_space_group_name_Hall '-I 2 2'
loop_
_atom_site_label
_atom_site_type_symbol
_atom_site_fract_x
_atom_site_fract_y
_atom_site_fract_z
_atom_site_occupancy
Tl1 Tl 0.0000 0.0000 0.2426 1
In1 In 0.0000 0.5000 0.5000 1
Pb1 Pb 0.0000 0.5000 0.0000 1
# total energy = -3.0394 eV/atom
# density = 10.90 g/cm3
# ΔE_f = 0.02 eV per atom
# DOS(E_F) = 0.515 states/eV per atom

=====

4.
# Tl2InPb GGA-PBEsol optimized geometry
data_Tl2InPb
_cell_length_a 3.7710
_cell_length_b 5.5407
_cell_length_c 10.6807
_cell_angle_alpha 90.00
_cell_angle_beta 90.00
_cell_angle_gamma 90.00
_space_group_name_H-M_alt 'C m m m'
_space_group_IT_number 65
_space_group_name_Hall '-C 2 2'
loop_
_atom_site_label
_atom_site_type_symbol
_atom_site_fract_x
_atom_site_fract_y
_atom_site_fract_z
_atom_site_occupancy
Tl1 Tl 0.0000 0.0000 0.2435 1
In1 In 0.0000 0.5000 0.0000 1
Pb1 Pb 0.0000 0.5000 0.5000 1
# total energy = -3.0402 eV/atom
# density = 10.88 g/cm3
# ΔE_f = 0.02 eV per atom
# DOS(E_F) = 0.417 states/eV per atom

=====

5.
# Tl2InPb GGA-PBEsol optimized geometry
data_Tl2InPb
_cell_length_a 3.4064
_cell_length_b 3.4064
_cell_length_c 9.6941
_cell_angle_alpha 90.00
_cell_angle_beta 90.00
_cell_angle_gamma 90.00
_space_group_name_H-M_alt 'P 4/m m m'
_space_group_IT_number 123
_space_group_name_Hall '-P 4 2'
loop_
_atom_site_label
_atom_site_type_symbol
_atom_site_fract_x
_atom_site_fract_y
_atom_site_fract_z
_atom_site_occupancy
Tl1 Tl 0.0000 0.0000 0.2422 1
In1 In 0.5000 0.5000 0.0000 1
Pb1 Pb 0.5000 0.5000 0.5000 1
# total energy = -3.0550 eV/atom
# density = 10.79 g/cm3
# ΔE_f = 0.01 eV per atom
# DOS(E_F) = 0.407 states/eV per atom

=====

6.
# TlIn2Pb GGA-PBEsol optimized geometry
data_TlIn2Pb
_cell_length_a 3.6096
_cell_length_b 5.5624
_cell_length_c 10.8442
_cell_angle_alpha 90.00
_cell_angle_beta 90.00
_cell_angle_gamma 90.00
_space_group_name_H-M_alt 'I m m 2'
_space_group_IT_number 44
loop_
_space_group_symop_operation_xyz
'x,y,z'
'-x,-y,z'
'-x,y,z'
'x,-y,z'
'x+1/2,y+1/2,z+1/2'
'-x+1/2,-y+1/2,z+1/2'
'-x+1/2,y+1/2,z+1/2'
'x+1/2,-y+1/2,z+1/2'
loop_
_atom_site_label
_atom_site_type_symbol
_atom_site_fract_x
_atom_site_fract_y
_atom_site_fract_z
_atom_site_occupancy
Tl1 Tl 0.0000 0.0000 0.0000 1
In1 In 0.0000 0.0000 0.4856 1
In2 In 0.0000 0.5000 0.7487 1
Pb1 Pb 0.0000 0.5000 0.2361 1
# total energy = -3.1245 eV/atom
# density = 9.78 g/cm3
# ΔE_f = 0.02 eV per atom
# DOS(E_F) = 0.471 states/eV per atom